AlCuWAu, relaxed, DFT PBE; total magnetization = 1.65 μB per formula unit; SG = F-43m, No. 216; energy above the lowest structure with this stoichiometry = 0.000 kcal/mol of atoms; total DFT energy (no corrections) = -5.5418 eV/atom
1.0
0.000 3.159 3.159
3.159 0.000 3.159
3.159 3.159 0.000
Au Cu W Al
1 1 1 1
Direct
0.500 0.500 0.500
0.750 0.750 0.750
0.250 0.250 0.250
0.000 0.000 0.000

---

RbPrB4, relaxed, DFT PBE; total magnetization = 0.04 μB per formula unit; SG = P6/mmm, No. 191; energy above the lowest structure with this stoichiometry = 2.755 kcal/mol of atoms; total DFT energy (no corrections) = -5.1497 eV/atom
1.0
3.246 0.000 0.000
-1.623 2.811 0.000
0.000 0.000 9.512
B Rb Pr
4 1 1
Direct
0.333 0.667 0.778
0.667 0.333 0.222
0.333 0.667 0.222
0.667 0.333 0.778
0.000 0.000 0.500
0.000 0.000 0.000